Ac2NdWO8 after structural relaxation. Source: Alexandria via LeMat-Bulk, functional GGA+U.

a b c (Å): 4.482 7.385 5.662
angles (deg): 90.00 94.97 90.00
Sites, in units of the cell vectors:
1 Ac 0.000 0.244 0.000
2 Ac 0.000 0.756 0.000
3 Nd 0.500 0.500 0.500
4 W 0.500 0.000 0.500
5 O 0.053 0.500 0.253
6 O 0.098 0.000 0.337
7 O 0.438 0.200 0.725
8 O 0.438 0.800 0.725
9 O 0.562 0.200 0.275
10 O 0.562 0.800 0.275
11 O 0.902 0.000 0.663
12 O 0.947 0.500 0.747

Properties
Its volume is 15.557 Å³ per atom. The value obtained for the size of the total moment is 1.0 μB per formula unit. Its uncorrected energy is -92.11 eV per cell.